# 1
First-principles (PBE) data for a geometry-optimized KVNi2Bi structure, as listed in the Alexandria database.

## Properties
E_form: 2.1154 eV/atom
Space group: No. 123

Cell lengths 4.396, 5.887, 4.396 Å; angles 90.00, 90.00, 90.00 degrees
Fractional positions:
V1 0.500 0.500 0.500
K1 0.000 0.000 0.000
Ni1 0.500 0.000 0.000
Ni2 0.000 0.000 0.500
Bi1 0.000 0.500 0.000

=====

# 2
First-principles (PBE) data for a geometry-optimized KNiBiW2 structure, as listed in the Alexandria database.

## Properties
E_form: 3.4915 eV/atom
Space group: No. 123

Cell lengths 4.562, 4.562, 5.469 Å; angles 90.00, 90.00, 90.00 degrees
Fractional positions:
Ni1 0.500 0.500 0.500
W1 0.000 0.500 0.000
W2 0.500 0.000 0.000
K1 0.000 0.000 0.000
Bi1 0.000 0.000 0.500

=====

# 3
First-principles (PBE) data for a geometry-optimized KNpBi structure, as listed in the Alexandria database.

## Properties
E_form: -0.0955 eV/atom
Space group: No. 12

Cell lengths 3.609, 13.172, 13.115 Å; angles 157.38, 90.00, 97.87 degrees
Fractional positions:
Bi1 0.998 0.996 0.660
Bi2 0.002 0.004 0.340
Np1 0.683 0.365 0.838
Np2 0.317 0.635 0.162
K1 0.668 0.336 0.177
K2 0.332 0.664 0.823

=====

# 4
First-principles (PBE) data for a geometry-optimized KNpBiO6 structure, as listed in the Alexandria database.

## Properties
Energy relative to the elements, uncorrected: -1836.9 meV per atom
Space group: No. 163

Cell lengths 5.803, 5.803, 11.741 Å; angles 90.00, 90.00, 120.00 degrees
Fractional positions:
O1 0.359 0.968 0.651
O2 0.641 0.608 0.151
O3 0.032 0.392 0.651
O4 0.608 0.641 0.651
O5 0.968 0.359 0.151
O6 0.608 0.968 0.849
O7 0.032 0.641 0.849
O8 0.968 0.608 0.349
O9 0.392 0.032 0.151
O10 0.359 0.392 0.849
O11 0.641 0.032 0.349
O12 0.392 0.359 0.349
Np1 0.333 0.667 0.750
Np2 0.667 0.333 0.250
K1 0.000 0.000 0.000
K2 0.000 0.000 0.500
Bi1 0.333 0.667 0.250
Bi2 0.667 0.333 0.750

=====

| no. | calculated volume (Å³ per atom) | total magnetization (Bohr magnetons per cell) |
| --- | --- | --- |
| 1 | 22.76 | 0.0 |
| 2 | 22.77 | 0.0 |
| 3 | 37.34 | 2.9 |
| 4 | 19.02 | 0.0 |